VASP calculation (PBE-GGA) on a relaxed structure of Hf2ZrTl3Te6.

raw formation energy	-7.17	eV per formula unit
magnetization	0.000	μB per atom

Cell and atoms, written as CIF:
```
data_Hf2ZrTl3Te6
_chemical_formula_sum 'Hf4 Zr2 Tl6 Te12'
_symmetry_space_group_name_H-M 'C 1 2/m 1'
_symmetry_Int_Tables_number 12
_cell_length_a 6.881
_cell_length_b 11.797
_cell_length_c 9.517
_cell_angle_alpha 90.00
_cell_angle_beta 99.43
_cell_angle_gamma 90.00
loop_
_symmetry_equiv_pos_as_xyz
'x,y,z'
'-x,-y,-z'
'-x,y,-z'
'x,-y,z'
'x+1/2,y+1/2,z'
'-x+1/2,-y+1/2,-z'
'-x+1/2,y+1/2,-z'
'x+1/2,-y+1/2,z'
loop_
_atom_site_label
_atom_site_type_symbol
_atom_site_fract_x
_atom_site_fract_y
_atom_site_fract_z
Hf1 Hf 0.000 0.167 0.000
Zr1 Zr 0.000 0.500 0.000
Tl1 Tl 0.000 0.000 0.500
Tl2 Tl 0.000 0.330 0.500
Te1 Te 0.209 0.000 0.192
Te2 Te 0.213 0.332 0.192
```

VASP calculation (PBE-GGA) on a relaxed structure of Er5SnRu.

energy of formation	-221.6	meV per atom
magnetization	0.000	μB per atom

Cell and atoms, written as CIF:
```
data_Er5SnRu
_chemical_formula_sum 'Er20 Sn4 Ru4'
_symmetry_space_group_name_H-M 'C 1 2/c 1'
_symmetry_Int_Tables_number 15
_cell_length_a 10.698
_cell_length_b 6.833
_cell_length_c 11.183
_cell_angle_alpha 90.00
_cell_angle_beta 108.05
_cell_angle_gamma 90.00
loop_
_symmetry_equiv_pos_as_xyz
'x,y,z'
'-x,-y,-z'
'-x,y,-z+1/2'
'x,-y,z+1/2'
'x+1/2,y+1/2,z'
'-x+1/2,-y+1/2,-z'
'-x+1/2,y+1/2,-z+1/2'
'x+1/2,-y+1/2,z+1/2'
loop_
_atom_site_label
_atom_site_type_symbol
_atom_site_fract_x
_atom_site_fract_y
_atom_site_fract_z
Er1 Er 0.000 0.030 0.250
Er2 Er 0.123 0.336 0.043
Er3 Er 0.218 0.187 0.639
Sn1 Sn 0.000 0.467 0.750
Ru1 Ru 0.000 0.000 0.000
```

VASP calculation (PBE-GGA) on a relaxed structure of Tb4Sm5Tm2.

energy of formation	124.8	meV per atom
magnetization	0.000	μB per atom
polymorph energy (0 for the lowest one)	0.0	meV per atom

Cell and atoms, written as CIF:
```
data_Tb4Sm5Tm2
_chemical_formula_sum 'Tb8 Sm10 Tm4'
_symmetry_space_group_name_H-M 'C 1 2/m 1'
_symmetry_Int_Tables_number 12
_cell_length_a 11.095
_cell_length_b 7.305
_cell_length_c 9.280
_cell_angle_alpha 90.00
_cell_angle_beta 107.09
_cell_angle_gamma 90.00
loop_
_symmetry_equiv_pos_as_xyz
'x,y,z'
'-x,-y,-z'
'-x,y,-z'
'x,-y,z'
'x+1/2,y+1/2,z'
'-x+1/2,-y+1/2,-z'
'-x+1/2,y+1/2,-z'
'x+1/2,-y+1/2,z'
loop_
_atom_site_label
_atom_site_type_symbol
_atom_site_fract_x
_atom_site_fract_y
_atom_site_fract_z
Tb1 Tb 0.167 0.000 0.119
Tb2 Tb 0.195 0.000 0.501
Sm1 Sm 0.000 0.500 0.500
Sm2 Sm 0.067 0.221 0.771
Tm1 Tm 0.145 0.500 0.118
```

VASP calculation (PBE-GGA) on a relaxed structure of NpScInO6.

raw formation energy	-23.25	eV per formula unit
magnetization	0.111	μB per atom

Cell and atoms, written as CIF:
```
data_NpScInO6
_chemical_formula_sum 'Np2 Sc2 In2 O12'
_symmetry_space_group_name_H-M 'P -3 1 c'
_symmetry_Int_Tables_number 163
_symmetry_space_group_name_Hall '-P 3 2c'
_cell_length_a 5.4949
_cell_length_b 5.4949
_cell_length_c 9.1879
_cell_angle_alpha 90.00
_cell_angle_beta 90.00
_cell_angle_gamma 120.00
loop_
_atom_site_label
_atom_site_type_symbol
_atom_site_fract_x
_atom_site_fract_y
_atom_site_fract_z
Np1 Np 0.3333 0.6667 0.2500
Sc1 Sc 0.3333 0.6667 0.7500
In1 In 0.0000 0.0000 0.0000
O1 O 0.0071 0.3465 0.1330
```

VASP calculation (PBE-GGA) on a relaxed structure of DyHo2Zn.

energy of formation	-58.8	meV per atom
magnetization	0.089	μB per atom
polymorph energy (0 for the lowest one)	102.7	meV per atom

Cell and atoms, written as CIF:
```
data_DyHo2Zn
_chemical_formula_sum 'Dy3 Ho6 Zn3'
_symmetry_space_group_name_H-M 'R 3 m'
_symmetry_Int_Tables_number 160
_symmetry_space_group_name_Hall 'R 3 -2"'
_cell_length_a 3.5799
_cell_length_b 3.5799
_cell_length_c 30.4994
_cell_angle_alpha 90.00
_cell_angle_beta 90.00
_cell_angle_gamma 120.00
loop_
_atom_site_label
_atom_site_type_symbol
_atom_site_fract_x
_atom_site_fract_y
_atom_site_fract_z
Dy1 Dy 0.0000 0.0000 0.0000
Ho1 Ho 0.0000 0.0000 0.2393
Ho2 Ho 0.0000 0.0000 0.4279
Zn1 Zn 0.0000 0.0000 0.8341
```

VASP calculation (PBE-GGA) on a relaxed structure of La2NiB2.

energy of formation	546.1	meV per atom
magnetization	0.000	μB per atom
polymorph energy (0 for the lowest one)	545.8	meV per atom

Cell and atoms, written as CIF:
```
data_La2NiB2
_chemical_formula_sum 'La4 Ni2 B4'
_symmetry_space_group_name_H-M 'I 4/m m m'
_symmetry_Int_Tables_number 139
_symmetry_space_group_name_Hall '-I 4 2'
_cell_length_a 3.131
_cell_length_b 3.131
_cell_length_c 17.591
_cell_angle_alpha 90.00
_cell_angle_beta 90.00
_cell_angle_gamma 90.00
loop_
_atom_site_label
_atom_site_type_symbol
_atom_site_fract_x
_atom_site_fract_y
_atom_site_fract_z
La1 La 0.000 0.000 0.113
Ni1 Ni 0.000 0.000 0.500
B1 B 0.000 0.500 0.250
```

VASP calculation (PBE-GGA) on a relaxed structure of KMn2Pb.

energy of formation	807.3	meV per atom
magnetization	2.163	μB per atom
polymorph energy (0 for the lowest one)	300.1	meV per atom

Cell and atoms, written as CIF:
```
data_KMn2Pb
_chemical_formula_sum 'K2 Mn4 Pb2'
_symmetry_space_group_name_H-M 'I -4 m 2'
_symmetry_Int_Tables_number 119
_symmetry_space_group_name_Hall 'I -4 -2'
_cell_length_a 5.208
_cell_length_b 5.208
_cell_length_c 7.351
_cell_angle_alpha 90.00
_cell_angle_beta 90.00
_cell_angle_gamma 90.00
loop_
_atom_site_label
_atom_site_type_symbol
_atom_site_fract_x
_atom_site_fract_y
_atom_site_fract_z
K1 K 0.000 0.000 0.000
Mn1 Mn 0.000 0.000 0.500
Mn2 Mn 0.000 0.500 0.750
Pb1 Pb 0.000 0.500 0.250
```

VASP calculation (PBE-GGA) on a relaxed structure of LiVRh2.

energy of formation	-274.4	meV per atom
magnetization	0.000	μB per atom
polymorph energy (0 for the lowest one)	140.3	meV per atom

Cell and atoms, written as CIF:
```
data_LiVRh2
_chemical_formula_sum 'Li3 V3 Rh6'
_symmetry_space_group_name_H-M 'R 3 m'
_symmetry_Int_Tables_number 160
_symmetry_space_group_name_Hall 'R 3 -2"'
_cell_length_a 2.7280
_cell_length_b 2.7280
_cell_length_c 25.6448
_cell_angle_alpha 90.00
_cell_angle_beta 90.00
_cell_angle_gamma 120.00
loop_
_atom_site_label
_atom_site_type_symbol
_atom_site_fract_x
_atom_site_fract_y
_atom_site_fract_z
Li1 Li 0.0000 0.0000 0.0000
V1 V 0.0000 0.0000 0.1667
Rh1 Rh 0.0000 0.0000 0.5807
Rh2 Rh 0.0000 0.0000 0.7531
```